Compound: MnCrPdRu
Source: Alexandria
Functional: GGA-PBE
Structure: optimized geometry

## Properties
As for the formation energy: 0.114 eV per atom. The calculation puts the total magnetic moment at 6.9 μB/f.u. The density of states at the Fermi level comes out at 0.805 states/eV/atom.

abc: 4.323 4.323 4.323
angles: 60.00 60.00 60.00
Element x y z (fractional)
1 Ru 0.250 0.250 0.250
2 Mn 0.000 0.000 0.000
3 Pd 0.750 0.750 0.750
4 Cr 0.500 0.500 0.500